GGA-PBE MgTlGa2Fe, relaxed; electronic total energy = -3.514 eV/atom; space group = P4/mmm, No. 123; formation enthalpy at 0 K = 0.18 eV/atom
1.0
4.6005 0.0000 0.0000
0.0000 4.6005 0.0000
0.0000 0.0000 5.0877
Mg Tl Ga Fe
1 1 2 1
Cartesian
0.0000 0.0000 0.0000
2.3003 2.3003 0.0000
0.0000 2.3003 2.5438
2.3003 0.0000 2.5438
2.3003 2.3003 2.5438

GGA-PBE MnGa3Fe, relaxed; electronic total energy = -5.027 eV/atom; space group = Pm-3m, No. 221; relative energy among the computed polymorphs = 0 meV per atom; formation enthalpy at 0 K = 0.32 eV/atom
1.0
4.6219 0.0000 0.0000
0.0000 4.6219 0.0000
0.0000 0.0000 4.6219
Mn Ga Fe
1 3 1
Cartesian
0.0000 0.0000 0.0000
0.0000 2.3110 2.3110
2.3110 0.0000 2.3110
2.3110 2.3110 0.0000
2.3110 2.3110 2.3110

GGA-PBE MnGaFe2, relaxed; electronic total energy = -7.339 eV/atom; space group = F-43m, No. 216; formation enthalpy at 0 K = -0.06 eV/atom
1.0
0.0000 2.9176 2.9176
2.9176 0.0000 2.9176
2.9176 2.9176 0.0000
Mn Ga Fe
1 1 2
Cartesian
0.0000 0.0000 0.0000
4.3764 4.3764 4.3764
1.4588 1.4588 1.4588
2.9176 2.9176 2.9176

GGA-PBE Mn6GaFe2, relaxed; electronic total energy = -7.943 eV/atom; space group = Immm, No. 71; formation enthalpy at 0 K = 0.39 eV/atom
1.0
-2.0106 2.3297 5.7414
2.0106 -2.3297 5.7414
2.0106 2.3297 -5.7414
Mn Ga Fe
6 1 2
Cartesian
2.0106 -1.2556 3.4128
0.0000 1.2314 0.0000
0.0000 1.0742 2.3286
2.0106 1.2556 3.4128
0.0000 3.4280 0.0000
0.0000 3.5853 2.3286
2.0106 0.0000 0.0000
0.0000 0.0000 4.5514
0.0000 0.0000 6.9314

Which value of formation enthalpy at 0 K does entry 4 give? 0.39 eV/atom

Repeat the fourth record exactly.
GGA-PBE Mn6GaFe2, relaxed; electronic total energy = -7.943 eV/atom; space group = Immm, No. 71; formation enthalpy at 0 K = 0.39 eV/atom
1.0
-2.0106 2.3297 5.7414
2.0106 -2.3297 5.7414
2.0106 2.3297 -5.7414
Mn Ga Fe
6 1 2
Cartesian
2.0106 -1.2556 3.4128
0.0000 1.2314 0.0000
0.0000 1.0742 2.3286
2.0106 1.2556 3.4128
0.0000 3.4280 0.0000
0.0000 3.5853 2.3286
2.0106 0.0000 0.0000
0.0000 0.0000 4.5514
0.0000 0.0000 6.9314

Which value of electronic total energy does entry 1 give? -3.514 eV/atom